(1)
DFT (PBE-GGA) results for a relaxed TlCuO2 crystal.

Lattice parameters (Å, degrees): 3.5423 3.5423 11.7939 90.00 90.00 120.00
With the nearest neighbours (Å) after each atom.
Space group P6_3/mmc (No. 194)
One atom of each set of equivalent atoms:
Tl 0.0000 0.0000 0.0000 [2 per cell]  6 O 2.34
Cu 0.3333 0.6667 0.2500 [2 per cell]  2 O 1.82
O 0.3333 0.6667 0.0957 [4 per cell]  1 Cu 1.82

Calculated values
Energy relative to the elements, uncorrected, meV/atom: -580

=====

(2)
DFT (PBE-GGA) results for a relaxed LaHg5 crystal.

Lattice parameters (Å, degrees): 4.6539 13.6756 4.9798 90.00 90.00 90.00
With the nearest neighbours (Å) after each atom.
Space group Cmmm (No. 65)
One atom of each set of equivalent atoms:
La 0.0000 0.0000 0.0000 [2 per cell]  12 Hg 3.31-3.41
Hg 0.0000 0.1667 0.5000 [4 per cell]  10 Hg 3.26-3.41, 2 La 3.38
Hg 0.0000 0.3283 0.0000 [4 per cell]  10 Hg 3.16-3.42, 2 La 3.31
Hg 0.0000 0.5000 0.5000 [2 per cell]  8 Hg 3.26-3.42, 4 La 3.41

Calculated values
Total energy, eV/atom: -1.359

=====

(3)
DFT (PBE-GGA) results for a relaxed ZnTc7 crystal.

Lattice parameters (Å, degrees): 7.7494 7.7494 7.7494 90.00 90.00 90.00
With the nearest neighbours (Å) after each atom.
Space group Fm-3m (No. 225)
One atom of each set of equivalent atoms:
Zn 0.0000 0.0000 0.0000 [4 per cell]  12 Tc 2.74
Tc 0.0000 0.0000 0.5000 [4 per cell]  12 Tc 2.74
Tc 0.0000 0.2500 0.2500 [24 per cell]  10 Tc 2.74, 2 Zn 2.74

Calculated values
Total energy, eV/atom: -9.042

=====

(4)
DFT (PBE-GGA) results for a relaxed K2Ag2I crystal.

Lattice parameters (Å, degrees): 9.5344 9.5344 4.4083 90.00 90.00 90.00
With the nearest neighbours (Å) after each atom.
Space group P4/mbm (No. 127)
One atom of each set of equivalent atoms:
K 0.1872 0.3128 0.0000 [4 per cell]  2 I 3.48, 6 Ag 3.61
Ag 0.1004 0.6004 0.5000 [4 per cell]  1 Ag 2.71
I 0.0000 0.0000 0.0000 [2 per cell]  4 K 3.48

Calculated values
Energy relative to the elements, uncorrected, meV/atom: -200

=====

(5)
DFT (PBE-GGA) results for a relaxed TmNiBRu2 crystal.

Lattice parameters (Å, degrees): 4.1991 4.1991 3.9475 90.00 90.00 90.00
With the nearest neighbours (Å) after each atom.
Space group P4/mmm (No. 123)
One atom of each set of equivalent atoms:
Tm 0.0000 0.0000 0.0000 [1 per cell]  8 Ru 2.88, 4 Ni 2.97
Ni 0.5000 0.5000 0.0000 [1 per cell]  2 B 1.97
B 0.5000 0.5000 0.5000 [1 per cell]  2 Ni 1.97, 4 Ru 2.10
Ru 0.0000 0.5000 0.5000 [2 per cell]  2 B 2.10

Calculated values
Total energy, eV/atom: -7.516

=====

(6)
DFT (PBE-GGA) results for a relaxed Na2AgGe2 crystal.

Lattice parameters (Å, degrees): 4.1086 4.1086 13.2237 90.00 90.00 90.00
With the nearest neighbours (Å) after each atom.
Space group I4/mmm (No. 139)
One atom of each set of equivalent atoms:
Na 0.0000 0.5000 0.2500 [4 per cell]  4 Na 2.91, 4 Ge 2.97
Ag 0.0000 0.0000 0.0000 [2 per cell]  8 Ge 3.13
Ge 0.0000 0.0000 0.4118 [4 per cell]  1 Ge 2.33

Calculated values
Total energy, eV/atom: -2.728

=====

(7)
DFT (PBE-GGA) results for a relaxed KNaBr2 crystal.

Lattice parameters (Å, degrees): 6.4271 4.7168 18.7974 90.00 90.00 90.00
With the nearest neighbours (Å) after each atom.
Space group Pnma (No. 62)
One atom of each set of equivalent atoms:
K 0.2505 0.2500 0.0606 [4 per cell]  6 Br 3.21-3.44
Na 0.2495 0.2500 0.8274 [4 per cell]  3 Br 2.83-3.01
Br 0.2490 0.2500 0.6767 [4 per cell]  1 Na 2.83
Br 0.2495 0.7500 0.9271 [4 per cell]  2 Na 3.01, 2 K 3.22

Calculated values
Energy relative to the elements, uncorrected, meV/atom: -1611

=====

(8)
DFT (PBE-GGA) results for a relaxed Li2YRe crystal.

Lattice parameters (Å, degrees): 2.9203 3.6204 7.3675 90.00 90.00 90.00
With the nearest neighbours (Å) after each atom.
Space group Pmm2 (No. 25)
One atom of each set of equivalent atoms:
Li 0.0000 0.0000 0.0000 [1 per cell]  6 Li 2.75-2.92, 1 Re 2.89
Li 0.5000 0.5000 0.1993 [1 per cell]  4 Re 2.72, 6 Li 2.75-2.92
Y 0.5000 0.5000 0.6355 [1 per cell]  2 Y 2.92, 4 Re 2.94, 1 Li 3.21
Re 0.0000 0.0000 0.3916 [1 per cell]  5 Li 2.72-2.89, 2 Re 2.92, 4 Y 2.94

Calculated values
Total energy, eV/atom: -5.281